(1)
First-principles (PBE) data for AcBiAsPd after structural relaxation, as listed in Alexandria via LeMat-Bulk.

Cell: 5.2586 5.2586 5.2586 Å, 60.00 60.00 60.00°
Fractional positions:
Ac  0.0000  0.0000  0.0000
Bi  0.5000  0.5000  0.5000
As  0.2500  0.2500  0.2500
Pd  0.7500  0.7500  0.7500

Output
The total energy comes out at -20.0 eV for the cell shown. Its crystal system is cubic. The formation energy is -0.533 eV per atom. Its space group is F-43m, No. 216.

(2)
First-principles (PBE) data for Na6Tl5Bi after structural relaxation, as listed in Alexandria via LeMat-Bulk.

Cell: 8.9315 8.9315 5.1543 Å, 106.63 106.63 105.38°
Fractional positions:
Na  0.0725  0.4045  0.7378
Na  0.2243  0.2243  0.2231
Na  0.4045  0.0725  0.7378
Na  0.5955  0.9275  0.2622
Na  0.7757  0.7757  0.7769
Na  0.9275  0.5955  0.2622
Tl  0.1803  0.8197  0.0000
Tl  0.3563  0.6437  0.5000
Tl  0.5000  0.5000  0.0000
Tl  0.6437  0.3563  0.5000
Tl  0.8197  0.1803  0.0000
Bi  0.0000  0.0000  0.5000

Output
The total energy comes out at -25.4 eV for the cell shown. Its crystal system is monoclinic. The formation energy is -0.147 eV per atom. Its space group is C2/m, No. 12.

(3)
First-principles (PBE) data for AlZn3Ag2 after structural relaxation, as listed in Alexandria via LeMat-Bulk.

Cell: 9.1108 9.1108 7.9857 Å, 105.63 105.63 18.37°
Fractional positions:
Al  0.1883  0.1883  0.0354
Al  0.8117  0.8117  0.9646
Zn  0.0551  0.0551  0.4269
Zn  0.1873  0.1873  0.7065
Zn  0.4298  0.4298  0.2254
Zn  0.5702  0.5702  0.7746
Zn  0.8127  0.8127  0.2935
Zn  0.9449  0.9449  0.5731
Ag  0.1946  0.1946  0.3708
Ag  0.4292  0.4292  0.8699
Ag  0.5708  0.5708  0.1301
Ag  0.8054  0.8054  0.6292

Output
The total energy comes out at -26.2 eV for the cell shown. Its crystal system is monoclinic. The calculation puts the offset from the most stable computed form at 34 meV/atom. The formation energy is 0.031 eV per atom. Its space group is C2/m, No. 12.

(4)
First-principles (PBE) data for Cd7Pt2Au2 after structural relaxation, as listed in Alexandria via LeMat-Bulk.

Cell: 6.2081 6.2081 6.7380 Å, 90.00 90.00 100.40°
Fractional positions:
Cd  0.0000  0.0000  0.0000
Cd  0.0000  0.5000  0.2738
Cd  0.0000  0.5000  0.7262
Cd  0.5000  0.0000  0.2738
Cd  0.5000  0.0000  0.7262
Cd  0.5000  0.5000  0.2678
Cd  0.5000  0.5000  0.7322
Pt  0.2816  0.7184  0.0000
Pt  0.7184  0.2816  0.0000
Au  0.1780  0.1780  0.5000
Au  0.8220  0.8220  0.5000

Output
The total energy comes out at -26.3 eV for the cell shown. Its crystal system is orthorhombic. The formation energy is -0.114 eV per atom. Its space group is Cmmm, No. 65.